Entry from Alexandria via LeMat-Bulk: a relaxed Tb12Ni6Sb crystal (GGA-PBE).

abc: 8.4579 8.4579 8.4579
angles: 109.47 109.47 109.47
With the nearest neighbours (Å) after each atom.
Fractional positions:
Tb  0.1182  0.8123  0.3059  3 Ni 2.65-2.90
Tb  0.8123  0.6941  0.5064  3 Ni 2.65-2.90
Tb  0.1877  0.3059  0.4936  3 Ni 2.65-2.90
Tb  0.5064  0.8123  0.6941  3 Ni 2.65-2.90
Tb  0.4936  0.1877  0.3059  3 Ni 2.65-2.90
Tb  0.8818  0.1877  0.6941  3 Ni 2.65-2.90
Tb  0.6941  0.8818  0.1877  3 Ni 2.65-2.90
Tb  0.3059  0.4936  0.1877  3 Ni 2.65-2.90
Tb  0.6941  0.5064  0.8123  3 Ni 2.65-2.90
Tb  0.1877  0.6941  0.8818  3 Ni 2.65-2.90
Tb  0.8123  0.3059  0.1182  3 Ni 2.65-2.90
Tb  0.3059  0.1182  0.8123  3 Ni 2.65-2.90
Ni  0.5000  0.8766  0.3766  1 Ni 2.41, 2 Tb 2.65
Ni  0.6234  0.5000  0.1234  1 Ni 2.41, 2 Tb 2.65
Ni  0.5000  0.1234  0.6234  1 Ni 2.41, 2 Tb 2.65
Ni  0.3766  0.5000  0.8766  1 Ni 2.41, 2 Tb 2.65
Ni  0.1234  0.6234  0.5000  1 Ni 2.41, 2 Tb 2.65
Ni  0.8766  0.3766  0.5000  1 Ni 2.41, 2 Tb 2.65
Sb  0.0000  0.0000  0.0000  12 Tb 3.50

As for the total magnetization: 0.00 μB per cell. For the formation energy without anion corrections, the calculation gives -7.83 eV per formula unit. For the calculated volume, the calculation gives 466 Å³ per cell. Its final energy is -102.2 eV/cell.